An optimized crystal structure of CdHg4C6S6Br4N6. Source: OQMD via LeMat-Bulk, functional GGA-PBE.

abc: 12.190 9.622 14.861
angles: 54.80 40.17 85.03
Fractional positions:
Cd  0.000  0.000  0.000
Hg  0.165  0.851  0.454
Hg  0.470  0.546  0.149
Hg  0.546  0.470  0.835
Hg  0.851  0.165  0.530
C  0.093  0.501  0.759
C  0.241  0.353  0.907
C  0.353  0.241  0.499
C  0.501  0.093  0.647
C  0.543  0.769  0.231
C  0.769  0.543  0.457
S  0.200  0.762  0.618
S  0.365  0.716  0.284
S  0.382  0.581  0.800
S  0.581  0.382  0.238
S  0.716  0.365  0.635
S  0.762  0.200  0.419
Br  0.042  0.948  0.360
Br  0.350  0.640  0.052
Br  0.640  0.350  0.958
Br  0.948  0.042  0.650
N  0.016  0.313  0.863
N  0.137  0.193  0.984
N  0.193  0.137  0.687
N  0.313  0.016  0.807
N  0.669  0.805  0.195
N  0.805  0.669  0.331

Total DFT energy (no corrections) ... -136.36 eV/f.u.
SG ... No. 42



An optimized crystal structure of InSi5Os3. Source: OQMD via LeMat-Bulk, functional GGA-PBE.

abc: 5.474 5.474 6.026
angles: 90.00 90.00 120.00
Fractional positions:
In  0.000  0.000  0.000
Si  0.000  0.000  0.500
Si  0.333  0.667  0.193
Si  0.333  0.667  0.807
Si  0.667  0.333  0.193
Si  0.667  0.333  0.807
Os  0.000  0.500  0.500
Os  0.500  0.000  0.500
Os  0.500  0.500  0.500

Total DFT energy (no corrections) ... -61.42 eV/f.u.
SG ... No. 191
Spin magnetization ... 0.171 μB per cell